A relaxed TbCeCoAg crystal. Source: the Alexandria database, functional GGA-PBE.

Cell: 5.0013 5.0013 5.0013 Å, 60.00 60.00 60.00°
Closest atoms and distances in Å follow each position.
Sites, in units of the cell vectors:
Co1 0.7500 0.7500 0.7500  4 Ce 3.06, 4 Tb 3.06
Tb1 0.0000 0.0000 0.0000  4 Ag 3.06, 4 Co 3.06
Ag1 0.2500 0.2500 0.2500  4 Tb 3.06, 4 Ce 3.06
Ce1 0.5000 0.5000 0.5000  4 Ag 3.06, 4 Co 3.06

calculated volume	22.11	Å³ per atom
total DFT energy (no corrections)	-0.38189	Ry/atom
formation energy from the elements	-0.066	eV/atom